This record from the Alexandria database describes a PBEsol-optimized structure of Al. The functional is SCAN.

a b c (Å): 7.8693 7.8693 2.7711
angles (deg): 90.00 90.00 120.00
Element x y z (fractional)
Al: 0.0000 0.0000 0.0000
Al: 0.0000 0.3020 0.5000
Al: 0.0000 0.6342 0.0000
Al: 0.3020 0.0000 0.5000
Al: 0.3333 0.6667 0.5000
Al: 0.3658 0.3658 0.0000
Al: 0.6342 0.0000 0.0000
Al: 0.6667 0.3333 0.5000
Al: 0.6980 0.6980 0.5000

Output
spin magnetization = 0.0 μB per cell
energy relative to the elements = 41 meV per atom
ρ = 2713 kg/m3

---

This record from the Alexandria database describes a PBEsol-optimized structure of Al. The functional is SCAN.

a b c (Å): 2.8122 2.8122 2.8057
angles (deg): 104.18 104.18 120.45
Element x y z (fractional)
Al: 0.0000 0.0000 0.0000

Output
spin magnetization = 0.0 μB per cell
energy relative to the elements = 71 meV per atom
ρ = 2692 kg/m3

---

This record from the Alexandria database describes a PBEsol-optimized structure of Al. The functional is SCAN.

a b c (Å): 2.8376 2.8376 2.8376
angles (deg): 60.00 60.00 60.00
Element x y z (fractional)
Al: 0.0000 0.0000 0.0000

Output
spin magnetization = 0.0 μB per cell
energy relative to the elements = 0 meV per atom
ρ = 2773 kg/m3

---

This record from the Alexandria database describes a PBEsol-optimized structure of Al. The functional is SCAN.

a b c (Å): 11.7798 11.8209 12.3035
angles (deg): 86.20 85.76 82.23
Element x y z (fractional)
Al: 0.0000 0.0000 0.0000
Al: 0.9996 0.6165 0.8846
Al: 0.0170 0.4018 0.0784
Al: 0.0243 0.4692 0.4790
Al: 0.0276 0.8778 0.3938
Al: 0.0352 0.1089 0.3348
Al: 0.0477 0.8020 0.1349
Al: 0.0604 0.9995 0.7723
Al: 0.0640 0.6365 0.2986
Al: 0.0676 0.2168 0.6583
Al: 0.0758 0.5540 0.6797
Al: 0.0993 0.0345 0.5407
Al: 0.1038 0.3863 0.8559
Al: 0.1228 0.1875 0.0282
Al: 0.1235 0.7900 0.9168
Al: 0.1400 0.6720 0.4970
Al: 0.1485 0.4177 0.2544
Al: 0.1481 0.5916 0.0690
Al: 0.1569 0.2525 0.4405
Al: 0.1593 0.9881 0.1634
Al: 0.1890 0.7570 0.6989
Al: 0.2131 0.1691 0.8122
Al: 0.2251 0.7893 0.2886
Al: 0.2314 0.3511 0.6374
Al: 0.2356 0.5699 0.8503
Al: 0.2368 0.1834 0.2253
Al: 0.2391 0.9735 0.9404
Al: 0.2518 0.3707 0.0453
Al: 0.2554 0.8547 0.4886
Al: 0.2609 0.4651 0.4343
Al: 0.2841 0.9625 0.6925
Al: 0.2901 0.7749 0.0714
Al: 0.3071 0.5785 0.2323
Al: 0.3186 0.5551 0.6318
Al: 0.3297 0.0554 0.4808
Al: 0.3504 0.1580 0.9823
Al: 0.3534 0.3477 0.8317
Al: 0.3574 0.9677 0.2775
Al: 0.3579 0.7762 0.8474
Al: 0.3820 0.3461 0.2430
Al: 0.3838 0.6534 0.4285
Al: 0.3850 0.5547 0.0149
Al: 0.3941 0.1535 0.6644
Al: 0.3954 0.2566 0.4543
Al: 0.4265 0.7611 0.6260
Al: 0.4444 0.9391 0.0564
Al: 0.4580 0.9857 0.8241
Al: 0.4626 0.7469 0.2227
Al: 0.4709 0.5611 0.7987
Al: 0.4748 0.3545 0.6298
Al: 0.4757 0.1295 0.1624
Al: 0.4888 0.3325 0.0358
Al: 0.5027 0.4391 0.4044
Al: 0.5028 0.8441 0.4196
Al: 0.5266 0.7226 0.9971
Al: 0.5388 0.5133 0.1886
Al: 0.5415 0.0733 0.3622
Al: 0.5433 0.9696 0.5918
Al: 0.5578 0.5550 0.5825
Al: 0.5772 0.1256 0.9461
Al: 0.5912 0.3371 0.8278
Al: 0.5961 0.7609 0.7723
Al: 0.6174 0.2830 0.2293
Al: 0.6183 0.1328 0.7233
Al: 0.6220 0.8980 0.2151
Al: 0.6267 0.1941 0.5032
Al: 0.6268 0.5017 0.9757
Al: 0.6287 0.6288 0.3713
Al: 0.6535 0.8980 0.9215
Al: 0.6715 0.7489 0.5597
Al: 0.6899 0.6730 0.1524
Al: 0.7043 0.5282 0.7595
Al: 0.7090 0.3387 0.6298
Al: 0.7164 0.0816 0.1285
Al: 0.7283 0.9213 0.4143
Al: 0.7288 0.3801 0.3913
Al: 0.7339 0.2737 0.9965
Al: 0.7516 0.9244 0.6887
Al: 0.7642 0.6763 0.9283
Al: 0.7788 0.4323 0.1493
Al: 0.7878 0.1534 0.3325
Al: 0.7931 0.5287 0.5394
Al: 0.8011 0.0579 0.8976
Al: 0.8219 0.8597 0.0623
Al: 0.8439 0.7755 0.2738
Al: 0.8528 0.1476 0.6970
Al: 0.8533 0.6811 0.7057
Al: 0.8578 0.5502 0.3190
Al: 0.8612 0.4445 0.9196
Al: 0.8667 0.0349 0.5125
Al: 0.9018 0.7109 0.4807
Al: 0.9064 0.8442 0.8452
Al: 0.9090 0.2011 0.1254
Al: 0.9096 0.2634 0.5034
Al: 0.9124 0.9830 0.2211
Al: 0.9149 0.4012 0.7013
Al: 0.9154 0.6232 0.1020
Al: 0.9496 0.3299 0.2919
Al: 0.9542 0.2165 0.8761
Al: 0.9861 0.8482 0.6227

Output
spin magnetization = 0.2 μB per cell
energy relative to the elements = 74 meV per atom
ρ = 2651 kg/m3